Compound: Li4Ti5Co3O16
Source: the Alexandria database
Functional: PBE+U
Structure: optimized geometry

Cell and atoms, written as POSCAR:
```
Li4Ti5Co3O16
1.0
5.8894 0.0000 0.0000
2.9171 5.1456 0.0000
0.0486 0.0007 9.6650
Li Ti Co O
4 5 3 16
Direct
0.0000 0.0000 0.0000
0.0157 0.9787 0.4901
0.3290 0.3280 0.4018
0.6800 0.6526 0.9035
0.2154 0.1226 0.7217
0.3261 0.3445 0.0064
0.6674 0.1992 0.7142
0.6758 0.6783 0.4855
0.8151 0.3375 0.2293
0.1548 0.6457 0.7175
0.3510 0.8347 0.2128
0.8168 0.8289 0.2111
0.0041 0.9958 0.3019
0.0518 0.4618 0.8375
0.1656 0.1773 0.0954
0.1687 0.6601 0.0889
0.3373 0.8164 0.6027
0.3449 0.3055 0.6074
0.4935 0.0175 0.8362
0.4959 0.4654 0.8401
0.5145 0.9553 0.3572
0.5258 0.5012 0.3460
0.6577 0.1778 0.0968
0.6697 0.6469 0.1060
0.8348 0.8253 0.5963
0.8383 0.3204 0.5981
0.9591 0.5041 0.3491
0.9978 0.9959 0.8094
```

Output
Theoretical density = 3.968 Mg/m³
Uncorrected energy = -7.37 eV per atom
Size of the total moment = 11.0 μB/cell